Computed, not measured: an optimized crystal structure of RbRe3Pb5 at the PBE level of DFT.

Unit cell a=5.563 b=5.563 c=9.250 alpha=90.00 beta=90.00 gamma=120.00
Atoms (fractional coordinates):
Rb1 0.000 0.000 0.000
Re1 0.000 0.500 0.500
Re2 0.500 0.000 0.500
Re3 0.500 0.500 0.500
Pb1 0.000 0.000 0.500
Pb2 0.333 0.667 0.229
Pb3 0.333 0.667 0.771
Pb4 0.667 0.333 0.229
Pb5 0.667 0.333 0.771

## Properties
Crystal system: hexagonal
Spin magnetization in μB per cell: 0.12
SG: P6/mmm, No. 191
Calculated total energy in eV per atom: -5.8688